Entry 1:
VASP calculation (PBE) on crystalline Cu3Se4 at its relaxed geometry.

```
Cu3Se4
1.0
5.233 0.000 0.000
0.000 5.233 0.000
0.000 0.000 5.233
Cu Se
3 4
Direct
0.000 0.000 0.500
0.000 0.500 0.000
0.500 0.000 0.000
0.283 0.283 0.283
0.283 0.717 0.717
0.717 0.283 0.717
0.717 0.717 0.283
```

Calculated values
ΔE_f (raw): 0.027 eV per atom
V: 20.47 Å³/atom

***

Entry 2:
VASP calculation (PBE) on crystalline CuSe2 at its relaxed geometry.

```
CuSe2
1.0
2.684 0.000 0.000
0.000 3.623 0.000
0.000 0.000 25.856
Cu Se
4 8
Direct
0.000 0.250 0.121
0.000 0.750 0.879
0.500 0.250 0.379
0.500 0.750 0.621
0.000 0.250 0.543
0.000 0.250 0.673
0.000 0.750 0.327
0.000 0.750 0.457
0.500 0.250 0.827
0.500 0.250 0.957
0.500 0.750 0.043
0.500 0.750 0.173
```

Calculated values
ΔE_f (raw): 0.204 eV per atom
V: 20.95 Å³/atom

***

Entry 3:
VASP calculation (PBE) on crystalline CuSe3 at its relaxed geometry.

```
CuSe3
1.0
7.424 0.000 0.000
-3.712 6.429 0.000
0.000 0.000 6.695
Cu Se
4 12
Direct
0.000 0.000 0.000
0.000 0.000 0.500
0.333 0.667 0.250
0.667 0.333 0.750
0.000 0.500 0.000
0.000 0.500 0.500
0.160 0.321 0.750
0.160 0.840 0.750
0.321 0.160 0.250
0.500 0.000 0.000
0.500 0.000 0.500
0.500 0.500 0.000
0.500 0.500 0.500
0.679 0.840 0.750
0.840 0.160 0.250
0.840 0.679 0.250
```

Calculated values
ΔE_f (raw): 0.198 eV per atom
V: 19.97 Å³/atom

***

Entry 4:
VASP calculation (PBE) on crystalline CuSe at its relaxed geometry.

```
CuSe
1.0
13.789 0.000 0.000
0.000 3.084 0.000
-2.450 0.000 5.897
Cu Se
6 6
Direct
0.000 0.000 0.000
0.073 0.000 0.451
0.185 0.500 0.213
0.500 0.500 0.000
0.573 0.500 0.451
0.685 0.000 0.213
0.078 0.500 0.816
0.256 0.000 0.517
0.429 0.000 0.200
0.578 0.000 0.816
0.756 0.500 0.517
0.929 0.500 0.200
```

Calculated values
ΔE_f (raw): 0.004 eV per atom
V: 20.89 Å³/atom

***

Entry 5:
VASP calculation (PBE) on crystalline CuSe3 at its relaxed geometry.

```
CuSe3
1.0
7.861 0.000 0.000
0.000 13.338 0.000
0.000 0.000 3.978
Cu Se
4 12
Direct
0.000 0.148 0.250
0.000 0.852 0.750
0.500 0.352 0.750
0.500 0.648 0.250
0.000 0.436 0.250
0.000 0.564 0.750
0.217 0.316 0.750
0.217 0.684 0.250
0.283 0.184 0.250
0.283 0.816 0.750
0.500 0.064 0.750
0.500 0.936 0.250
0.717 0.184 0.250
0.717 0.816 0.750
0.783 0.316 0.750
0.783 0.684 0.250
```

Calculated values
ΔE_f (raw): 0.253 eV per atom
V: 26.07 Å³/atom

***

Entry 6:
VASP calculation (PBE) on crystalline Cu5Se3 at its relaxed geometry.

```
Cu5Se3
1.0
3.468 0.000 0.000
0.000 3.468 0.000
0.000 0.000 10.357
Cu Se
5 3
Direct
0.000 0.000 0.000
0.000 0.000 0.246
0.000 0.000 0.754
0.500 0.500 0.382
0.500 0.500 0.618
0.000 0.000 0.500
0.500 0.500 0.154
0.500 0.500 0.846
```

Calculated values
ΔE_f (raw): 0.097 eV per atom
V: 15.57 Å³/atom

***

Entry 7:
VASP calculation (PBE) on crystalline CuSe3 at its relaxed geometry.

```
CuSe3
1.0
5.372 0.000 0.000
0.000 5.372 0.000
0.000 0.000 5.372
Cu Se
2 6
Direct
0.000 0.000 0.000
0.500 0.500 0.500
0.000 0.250 0.500
0.000 0.750 0.500
0.250 0.500 0.000
0.500 0.000 0.250
0.500 0.000 0.750
0.750 0.500 0.000
```

Calculated values
ΔE_f (raw): 0.659 eV per atom
V: 19.38 Å³/atom

***

Entry 8:
VASP calculation (PBE) on crystalline Cu5Se at its relaxed geometry.

```
Cu5Se
1.0
8.183 0.000 0.000
0.000 3.592 0.000
-1.743 0.000 5.453
Cu Se
10 2
Direct
0.000 0.000 0.000
0.167 0.500 0.858
0.169 0.500 0.310
0.331 0.000 0.690
0.333 0.000 0.142
0.500 0.500 0.000
0.667 0.000 0.858
0.669 0.000 0.310
0.831 0.500 0.690
0.833 0.500 0.142
0.000 0.000 0.500
0.500 0.500 0.500
```

Calculated values
ΔE_f (raw): 0.082 eV per atom
V: 13.36 Å³/atom

***

Entry 9:
VASP calculation (PBE) on crystalline CuSe2 at its relaxed geometry.

```
CuSe2
1.0
4.720 0.000 0.000
-2.360 4.088 0.000
0.000 0.000 5.593
Cu Se
2 4
Direct
0.333 0.667 0.250
0.667 0.333 0.750
0.000 0.000 0.000
0.000 0.000 0.500
0.333 0.667 0.750
0.667 0.333 0.250
```

Calculated values
ΔE_f (raw): 0.485 eV per atom
V: 17.98 Å³/atom

***

Entry 10:
VASP calculation (PBE) on crystalline CuSe2 at its relaxed geometry.

```
CuSe2
1.0
6.188 0.000 0.000
0.000 6.188 0.000
0.000 0.000 6.188
Cu Se
4 8
Direct
0.000 0.000 0.000
0.000 0.500 0.500
0.500 0.000 0.500
0.500 0.500 0.000
0.250 0.250 0.250
0.250 0.250 0.750
0.250 0.750 0.250
0.250 0.750 0.750
0.750 0.250 0.250
0.750 0.250 0.750
0.750 0.750 0.250
0.750 0.750 0.750
```

Calculated values
ΔE_f (raw): 0.203 eV per atom
V: 19.75 Å³/atom

***

Entry 11:
VASP calculation (PBE) on crystalline Cu3Se at its relaxed geometry.

```
Cu3Se
1.0
2.702 0.000 0.000
0.000 2.702 0.000
0.000 0.000 7.968
Cu Se
3 1
Direct
0.000 0.000 0.000
0.500 0.500 0.212
0.500 0.500 0.788
0.000 0.000 0.500
```

Calculated values
ΔE_f (raw): 0.226 eV per atom
V: 14.54 Å³/atom

***

Entry 12:
VASP calculation (PBE) on crystalline CuSe at its relaxed geometry.

```
CuSe
1.0
1.981 -3.544 0.000
1.981 3.544 0.000
0.000 0.000 17.299
Cu Se
6 6
Direct
0.073 0.927 0.750
0.152 0.848 0.112
0.152 0.848 0.388
0.848 0.152 0.612
0.848 0.152 0.888
0.927 0.073 0.250
0.253 0.747 0.250
0.486 0.514 0.070
0.486 0.514 0.430
0.514 0.486 0.570
0.514 0.486 0.930
0.747 0.253 0.750
```

Calculated values
ΔE_f (raw): -0.133 eV per atom
V: 20.24 Å³/atom

***

Entry 13:
VASP calculation (PBE) on crystalline CuSe at its relaxed geometry.

```
CuSe
1.0
6.492 0.000 0.000
0.000 6.492 0.000
0.000 0.000 4.042
Cu Se
4 4
Direct
0.147 0.147 0.000
0.353 0.647 0.500
0.647 0.353 0.500
0.853 0.853 0.000
0.215 0.785 0.000
0.285 0.285 0.500
0.715 0.715 0.500
0.785 0.215 0.000
```

Calculated values
ΔE_f (raw): -0.100 eV per atom
V: 21.29 Å³/atom

***

Entry 14:
VASP calculation (PBE) on crystalline Cu5Se3 at its relaxed geometry.

```
Cu5Se3
1.0
6.960 0.000 0.000
-1.803 6.724 0.000
-2.338 -3.545 6.003
Cu Se
10 6
Direct
0.000 0.000 0.000
0.002 0.502 0.500
0.080 0.366 0.957
0.184 0.108 0.423
0.309 0.837 0.547
0.317 0.739 0.923
0.592 0.378 0.457
0.670 0.405 0.134
0.712 0.739 0.047
0.730 0.965 0.634
0.236 0.408 0.321
0.359 0.374 0.830
0.457 0.972 0.330
0.623 0.021 0.925
0.906 0.804 0.425
0.915 0.587 0.821
```

Calculated values
ΔE_f (raw): -0.040 eV per atom
V: 17.56 Å³/atom

***

Entry 15:
VASP calculation (PBE) on crystalline Cu5Se at its relaxed geometry.

```
Cu5Se
1.0
3.698 0.000 0.000
0.000 11.602 0.000
0.000 0.000 3.682
Cu Se
10 2
Direct
0.000 0.000 0.000
0.000 0.172 0.500
0.000 0.325 0.000
0.000 0.675 0.000
0.000 0.828 0.500
0.500 0.175 0.000
0.500 0.328 0.500
0.500 0.500 0.000
0.500 0.672 0.500
0.500 0.825 0.000
0.000 0.500 0.500
0.500 0.000 0.500
```

Calculated values
ΔE_f (raw): 0.053 eV per atom
V: 13.17 Å³/atom

***

Entry 16:
VASP calculation (PBE) on crystalline CuSe3 at its relaxed geometry.

```
CuSe3
1.0
4.258 0.000 0.000
0.000 4.258 0.000
0.000 0.000 4.258
Cu Se
1 3
Direct
0.000 0.000 0.000
0.000 0.500 0.500
0.500 0.000 0.500
0.500 0.500 0.000
```

Calculated values
ΔE_f (raw): 0.640 eV per atom
V: 19.30 Å³/atom

***

Entry 17:
VASP calculation (PBE) on crystalline CuSe2 at its relaxed geometry.

```
CuSe2
1.0
4.161 0.000 0.000
-2.080 3.603 0.000
0.000 0.000 7.874
Cu Se
2 4
Direct
0.333 0.667 0.250
0.667 0.333 0.750
0.000 0.000 0.000
0.000 0.000 0.500
0.333 0.667 0.750
0.667 0.333 0.250
```

Calculated values
ΔE_f (raw): 0.348 eV per atom
V: 19.68 Å³/atom

***

Entry 18:
VASP calculation (PBE) on crystalline CuSe3 at its relaxed geometry.

```
CuSe3
1.0
3.181 0.000 0.000
0.000 3.181 0.000
0.000 0.000 8.120
Cu Se
1 3
Direct
0.000 0.000 0.000
0.000 0.000 0.500
0.500 0.500 0.163
0.500 0.500 0.837
```

Calculated values
ΔE_f (raw): 0.416 eV per atom
V: 20.54 Å³/atom

***

Entry 19:
VASP calculation (PBE) on crystalline Cu3Se4 at its relaxed geometry.

```
Cu3Se4
1.0
5.056 0.000 0.000
0.000 5.056 0.000
0.000 0.000 5.056
Cu Se
3 4
Direct
0.000 0.000 0.500
0.000 0.500 0.000
0.500 0.000 0.000
0.000 0.000 0.000
0.000 0.500 0.500
0.500 0.000 0.500
0.500 0.500 0.000
```

Calculated values
ΔE_f (raw): 0.075 eV per atom
V: 18.46 Å³/atom

***

Entry 20:
VASP calculation (PBE) on crystalline CuSe at its relaxed geometry.

```
CuSe
1.0
6.456 0.000 0.000
0.000 6.456 0.000
0.000 0.000 6.456
Cu Se
8 8
Direct
0.125 0.125 0.125
0.125 0.625 0.625
0.375 0.375 0.875
0.375 0.875 0.375
0.625 0.125 0.625
0.625 0.625 0.125
0.875 0.375 0.375
0.875 0.875 0.875
0.125 0.125 0.625
0.125 0.625 0.125
0.375 0.375 0.375
0.375 0.875 0.875
0.625 0.125 0.125
0.625 0.625 0.625
0.875 0.375 0.875
0.875 0.875 0.375
```

Calculated values
ΔE_f (raw): 0.535 eV per atom
V: 16.81 Å³/atom